PBE La2TmNi, relaxed; DOS at the Fermi energy = 1.176 states/eV per atom; E_form = -75 kJ/mol of formula units; mass density = 7.33 g cm⁻³; distance to the lowest polymorph of the same formula = 0 meV/atom
1.0
-3.387 0.075 -5.446
1.926 -6.635 -1.289
-8.163 -3.347 5.031
La Tm Ni
8 4 4
Direct
0.177 0.676 0.068
0.323 0.176 0.432
0.823 0.324 0.568
0.677 0.824 0.932
0.823 0.324 0.932
0.677 0.824 0.568
0.177 0.676 0.432
0.323 0.176 0.068
0.663 0.540 0.250
0.837 0.040 0.250
0.337 0.460 0.750
0.163 0.960 0.750
0.055 0.381 0.250
0.445 0.881 0.250
0.945 0.619 0.750
0.555 0.119 0.750



PBE KZnSe2, relaxed; DOS at the Fermi energy = 1.012 states/eV per atom; mass density = 4.45 g cm⁻³; raw formation energy = 0.04 eV per atom
1.0
-1.044 0.871 4.994
0.148 -3.905 3.394
3.792 -0.231 3.515
K Se Zn
1 2 1
Direct
0.500 0.500 0.500
0.000 0.000 0.000
0.250 0.250 0.250
0.750 0.750 0.750



PBE NpReNi, relaxed; DOS at the Fermi energy = 1.840 states/eV per atom; E_form = 133 kJ/mol of formula units; mass density = 16.92 g cm⁻³
1.0
2.634 0.000 0.000
0.000 4.390 0.000
0.000 0.000 8.180
Re Np Ni
2 2 2
Direct
0.500 0.000 0.779
0.000 0.500 0.221
0.000 0.000 0.425
0.500 0.500 0.575
0.500 0.500 0.956
0.000 0.000 0.044



PBE BaTiGe3, relaxed; DOS at the Fermi energy = 1.808 states/eV per atom; E_form = 796 kJ/mol of formula units; mass density = 3.93 g cm⁻³
1.0
5.545 0.000 0.000
0.000 5.545 0.000
0.000 0.000 5.545
Ge Ba Ti
3 1 1
Direct
0.000 0.500 0.000
0.000 0.000 0.500
0.500 0.000 0.000
0.000 0.000 0.000
0.500 0.500 0.500